First-principles (PBE-GGA) data for a relaxed Ba2NiHPd crystal, as listed in Alexandria via LeMat-Bulk.

Cell: 5.588 5.588 3.787 Å, 90.00 90.00 90.00°
Space group P4/mmm (No. 123)
Symmetry-distinct sites (fractional):
Ba: 0.000 0.500 0.000
Ni: 0.000 0.000 0.500
H: 0.500 0.500 0.000
Pd: 0.500 0.500 0.500

relative energy among the computed polymorphs: 41 meV per atom
uncorrected energy: -3.832 eV/atom

=====

First-principles (PBE-GGA) data for a relaxed BaNiH6Pd crystal, as listed in Alexandria via LeMat-Bulk.

Cell: 4.8690 4.8690 4.7646 Å, 90.00 90.00 120.00°
Space group P-6m2 (No. 187)
Symmetry-distinct sites (fractional):
Ba: 0.0000 0.0000 0.0000
Ni: 0.6667 0.3333 0.5000
H: 0.5151 0.0302 0.2931
Pd: 0.3333 0.6667 0.5000

uncorrected energy: -3.968 eV/atom

=====

First-principles (PBE-GGA) data for a relaxed Ba2PmNi3H12 crystal, as listed in Alexandria via LeMat-Bulk.

Cell: 6.6404 6.6404 14.8827 Å, 90.00 90.00 120.00°
Space group R-3m (No. 166, hexagonal axes)
Symmetry-distinct sites (fractional):
Ba: 0.0000 0.0000 0.1108
Pm: 0.0000 0.0000 0.5000
Ni: 0.0000 0.5000 0.0000
H: 0.0273 0.5136 0.8943
H: 0.0951 0.5476 0.3192

uncorrected energy: -3.999 eV/atom

=====

First-principles (PBE-GGA) data for a relaxed BaPmNi2H8 crystal, as listed in Alexandria via LeMat-Bulk.

Cell: 4.8697 4.8697 20.1360 Å, 90.00 90.00 120.00°
Space group R-3 (No. 148, hexagonal axes)
Symmetry-distinct sites (fractional):
Ba: 0.0000 0.0000 0.0000
Pm: 0.0000 0.0000 0.5000
Ni: 0.0000 0.0000 0.2259
H: 0.0000 0.0000 0.3009
H: 0.0305 0.5684 0.5534

uncorrected energy: -3.932 eV/atom

=====

First-principles (PBE-GGA) data for a relaxed Ba2PrNi3H12 crystal, as listed in Alexandria via LeMat-Bulk.

Cell: 6.6459 6.6459 15.0673 Å, 90.00 90.00 120.00°
Space group R-3m (No. 166, hexagonal axes)
Symmetry-distinct sites (fractional):
Ba: 0.0000 0.0000 0.1099
Pr: 0.0000 0.0000 0.5000
Ni: 0.0000 0.5000 0.0000
H: 0.0333 0.5167 0.8957
H: 0.0949 0.5475 0.3186

uncorrected energy: -3.990 eV/atom

=====

First-principles (PBE-GGA) data for a relaxed BaNiH8Pt2 crystal, as listed in Alexandria via LeMat-Bulk.

Cell: 4.8254 4.8254 18.4386 Å, 90.00 90.00 120.00°
Space group R-3 (No. 148, hexagonal axes)
Symmetry-distinct sites (fractional):
Ba: 0.0000 0.0000 0.0000
Ni: 0.0000 0.0000 0.5000
H: 0.0000 0.0000 0.2986
H: 0.0033 0.7073 0.5482
Pt: 0.0000 0.0000 0.2096

uncorrected energy: -4.061 eV/atom

=====

First-principles (PBE-GGA) data for a relaxed Ba2PuNi3H12 crystal, as listed in Alexandria via LeMat-Bulk.

Cell: 6.6405 6.6405 14.7924 Å, 90.00 90.00 120.00°
Space group R-3m (No. 166, hexagonal axes)
Symmetry-distinct sites (fractional):
Ba: 0.0000 0.0000 0.1129
Pu: 0.0000 0.0000 0.5000
Ni: 0.0000 0.5000 0.0000
H: 0.0206 0.5103 0.8931
H: 0.1011 0.5506 0.3163

uncorrected energy: -4.486 eV/atom

=====

First-principles (PBE-GGA) data for a relaxed Ba2PuNiH6 crystal, as listed in Alexandria via LeMat-Bulk.

Cell: 5.6127 5.6127 6.0680 Å, 90.00 90.00 120.00°
Space group P-3m1 (No. 164)
Symmetry-distinct sites (fractional):
Ba: 0.3333 0.6667 0.1679
Pu: 0.0000 0.0000 0.5000
Ni: 0.0000 0.0000 0.0000
H: 0.1363 0.2726 0.8269

uncorrected energy: -4.633 eV/atom

=====

First-principles (PBE-GGA) data for a relaxed RbBaNiH6 crystal, as listed in Alexandria via LeMat-Bulk.

Cell: 9.380 5.420 5.089 Å, 90.00 90.09 90.00°
Space group Cm (No. 8)
Symmetry-distinct sites (fractional):
Rb: 0.000 0.000 0.000
Ba: 0.334 0.000 0.530
Ni: 0.167 0.500 0.306
H: 0.028 0.500 0.129
H: 0.097 0.290 0.478
H: 0.236 0.293 0.129
H: 0.307 0.500 0.478

uncorrected energy: -3.429 eV/atom

=====

First-principles (PBE-GGA) data for a relaxed BaNiH6Rh crystal, as listed in Alexandria via LeMat-Bulk.

Cell: 4.8190 4.8190 4.8943 Å, 90.00 90.00 120.00°
Space group P312 (No. 149)
Symmetry-distinct sites (fractional):
Ba: 0.0000 0.0000 0.0000
Ni: 0.6667 0.3333 0.5000
H: 0.5009 0.0089 0.7016
Rh: 0.3333 0.6667 0.5000

uncorrected energy: -4.183 eV/atom

=====

First-principles (PBE-GGA) data for a relaxed BaNiH8Rh2 crystal, as listed in Alexandria via LeMat-Bulk.

Cell: 4.7094 4.7094 18.6351 Å, 90.00 90.00 120.00°
Space group R-3 (No. 148, hexagonal axes)
Symmetry-distinct sites (fractional):
Ba: 0.0000 0.0000 0.0000
Ni: 0.0000 0.0000 0.5000
H: 0.0000 0.0000 0.2882
H: 0.0013 0.3645 0.7905
Rh: 0.0000 0.0000 0.1991

uncorrected energy: -4.318 eV/atom

=====

First-principles (PBE-GGA) data for a relaxed BaScNi2H8 crystal, as listed in Alexandria via LeMat-Bulk.

Cell: 4.7939 4.7939 19.0755 Å, 90.00 90.00 120.00°
Space group R-3 (No. 148, hexagonal axes)
Symmetry-distinct sites (fractional):
Ba: 0.0000 0.0000 0.0000
Sc: 0.0000 0.0000 0.5000
Ni: 0.0000 0.0000 0.2155
H: 0.0000 0.0000 0.2950
H: 0.0136 0.3717 0.5534

uncorrected energy: -4.067 eV/atom

=====

First-principles (PBE-GGA) data for a relaxed Ba2ScNi3H12 crystal, as listed in Alexandria via LeMat-Bulk.

Cell: 6.5496 6.5496 14.2869 Å, 90.00 90.00 120.00°
Space group R-3m (No. 166, hexagonal axes)
Symmetry-distinct sites (fractional):
Ba: 0.0000 0.0000 0.1170
Sc: 0.0000 0.0000 0.5000
Ni: 0.0000 0.5000 0.0000
H: 0.0092 0.5046 0.1105
H: 0.0897 0.5449 0.3305

uncorrected energy: -4.091 eV/atom

=====

First-principles (PBE-GGA) data for a relaxed Ba2SiNiH crystal, as listed in Alexandria via LeMat-Bulk.

Cell: 6.259 6.259 4.266 Å, 90.00 90.00 90.00°
Space group P4/mmm (No. 123)
Symmetry-distinct sites (fractional):
Ba: 0.000 0.500 0.000
Si: 0.000 0.000 0.000
Ni: 0.000 0.000 0.500
H: 0.500 0.500 0.500

uncorrected energy: -3.645 eV/atom

=====

First-principles (PBE-GGA) data for a relaxed BaNi2SnH8 crystal, as listed in Alexandria via LeMat-Bulk.

Cell: 4.5263 4.5263 7.4071 Å, 90.00 90.00 120.00°
Space group P-3 (No. 147)
Symmetry-distinct sites (fractional):
Ba: 0.0000 0.0000 0.0000
Ni: 0.3333 0.6667 0.6896
Sn: 0.0000 0.0000 0.5000
H: 0.0215 0.6682 0.3118
H: 0.3333 0.6667 0.8964

uncorrected energy: -3.625 eV/atom

=====

First-principles (PBE-GGA) data for a relaxed Ba2SrNiH6 crystal, as listed in Alexandria via LeMat-Bulk.

Cell: 5.6917 5.6917 6.3058 Å, 90.00 90.00 120.00°
Space group P-3m1 (No. 164)
Symmetry-distinct sites (fractional):
Ba: 0.3333 0.6667 0.3580
Sr: 0.0000 0.0000 0.0000
Ni: 0.0000 0.0000 0.5000
H: 0.1388 0.2775 0.6584

uncorrected energy: -3.478 eV/atom

=====

First-principles (PBE-GGA) data for a relaxed Ba2SrNi3H12 crystal, as listed in Alexandria via LeMat-Bulk.

Cell: 6.5240 6.5240 15.6325 Å, 90.00 90.00 120.00°
Space group R-3m (No. 166, hexagonal axes)
Symmetry-distinct sites (fractional):
Ba: 0.0000 0.0000 0.1069
Sr: 0.0000 0.0000 0.5000
Ni: 0.0000 0.5000 0.0000
H: 0.0421 0.5211 0.9001
H: 0.0898 0.5449 0.3216

uncorrected energy: -3.795 eV/atom

=====

First-principles (PBE-GGA) data for a relaxed BaSrNi2H8 crystal, as listed in Alexandria via LeMat-Bulk.

Cell: 4.4175 4.4175 9.2161 Å, 90.00 90.00 120.00°
Space group P-3m1 (No. 164)
Symmetry-distinct sites (fractional):
Ba: 0.0000 0.0000 0.0000
Sr: 0.0000 0.0000 0.5000
Ni: 0.3333 0.6667 0.7363
H: 0.0026 0.5013 0.3526
H: 0.3333 0.6667 0.9125

uncorrected energy: -3.568 eV/atom

=====

First-principles (PBE-GGA) data for a relaxed BaSr2NiH8 crystal, as listed in Alexandria via LeMat-Bulk.

Cell: 5.0628 5.0628 7.6647 Å, 90.00 90.00 120.00°
Space group P-3m1 (No. 164)
Symmetry-distinct sites (fractional):
Ba: 0.0000 0.0000 0.0000
Sr: 0.3333 0.6667 0.3582
Ni: 0.0000 0.0000 0.5000
H: 0.1512 0.3024 0.6257
H: 0.3333 0.6667 0.0489

uncorrected energy: -3.552 eV/atom

=====

First-principles (PBE-GGA) data for a relaxed BaSrNiH6 crystal, as listed in Alexandria via LeMat-Bulk.

Cell: 5.2081 5.2081 4.8134 Å, 90.00 90.00 120.00°
Space group P3m1 (No. 156)
Symmetry-distinct sites (fractional):
Ba: 0.0000 0.0000 0.0000
Sr: 0.6667 0.3333 0.5126
Ni: 0.3333 0.6667 0.3145
H: 0.0369 0.5185 0.1145
H: 0.1799 0.3598 0.4978

uncorrected energy: -3.645 eV/atom